Th6Zn3Se14 | Alexandria via LeMat-Bulk | PBE-GGA | relaxed; E_form (uncorrected) = -1400 meV per atom; total energy = -129.32 eV/cell
1.0
-0.636 5.981 -0.524
-9.259 -1.408 -4.829
0.381 0.959 10.487
Zn Th Se
3 6 14
direct
0.489 0.667 0.333 Zn
0.340 0.333 0.667 Zn
0.837 0.000 0.000 Zn
0.741 0.528 0.563 Th
0.240 0.801 0.100 Th
0.741 0.035 0.472 Th
0.741 0.437 0.965 Th
0.240 0.299 0.199 Th
0.240 0.900 0.701 Th
0.441 0.000 0.000 Se
0.239 0.511 0.083 Se
0.944 0.333 0.667 Se
0.991 0.753 0.840 Se
0.991 0.160 0.913 Se
0.239 0.572 0.489 Se
0.239 0.917 0.428 Se
0.493 0.243 0.419 Se
0.493 0.176 0.757 Se
0.727 0.762 0.178 Se
0.727 0.415 0.238 Se
0.991 0.087 0.247 Se
0.493 0.581 0.824 Se
0.727 0.822 0.585 Se